This record from Alexandria describes an optimized crystal structure of HfWCl2. The functional is GGA-PBE.

Cell lengths 8.869, 8.869, 8.869 Å; angles 152.51, 152.51, 39.27 degrees
Sites, in units of the cell vectors:
Hf (0.000, 0.000, 0.000)
Hf (0.750, 0.250, 0.500)
W (0.250, 0.750, 0.500)
W (0.500, 0.500, 0.000)
Cl (0.135, 0.625, 0.010)
Cl (0.375, 0.385, 0.510)
Cl (0.615, 0.125, 0.990)
Cl (0.875, 0.865, 0.490)

---

This record from Alexandria describes an optimized crystal structure of Hf2WCl2. The functional is GGA-PBE.

Cell lengths 5.123, 5.123, 5.123 Å; angles 121.08, 121.08, 88.15 degrees
Sites, in units of the cell vectors:
Hf (0.250, 0.750, 0.500)
Hf (0.750, 0.250, 0.500)
W (0.000, 0.000, 0.000)
Cl (0.323, 0.323, 0.000)
Cl (0.677, 0.677, 0.000)

---

This record from Alexandria describes an optimized crystal structure of Hf2WCl. The functional is GGA-PBE.

Cell lengths 4.775, 4.775, 4.775 Å; angles 60.00, 60.00, 60.00 degrees
Sites, in units of the cell vectors:
Hf (0.250, 0.250, 0.250)
Hf (0.750, 0.750, 0.750)
W (0.000, 0.000, 0.000)
Cl (0.500, 0.500, 0.500)

---

This record from Alexandria describes an optimized crystal structure of HfWCl3. The functional is GGA-PBE.

Cell lengths 5.013, 5.013, 5.013 Å; angles 90.00, 90.00, 90.00 degrees
Sites, in units of the cell vectors:
Hf (0.000, 0.000, 0.000)
W (0.500, 0.500, 0.500)
Cl (0.000, 0.000, 0.500)
Cl (0.000, 0.500, 0.000)
Cl (0.500, 0.000, 0.000)

---

This record from Alexandria describes an optimized crystal structure of Y2HfCl. The functional is GGA-PBE.

Cell lengths 11.056, 11.056, 11.056 Å; angles 17.11, 17.11, 17.11 degrees
Sites, in units of the cell vectors:
Y (0.098, 0.098, 0.098)
Y (0.902, 0.902, 0.902)
Hf (0.000, 0.000, 0.000)
Cl (0.500, 0.500, 0.500)

---

This record from Alexandria describes an optimized crystal structure of YHf3Cl. The functional is GGA-PBE.

Cell lengths 4.874, 4.874, 4.874 Å; angles 90.00, 90.00, 90.00 degrees
Sites, in units of the cell vectors:
Y (0.000, 0.000, 0.000)
Hf (0.000, 0.500, 0.500)
Hf (0.500, 0.000, 0.500)
Hf (0.500, 0.500, 0.000)
Cl (0.500, 0.500, 0.500)

---

This record from Alexandria describes an optimized crystal structure of YHfCl2. The functional is GGA-PBE.

Cell lengths 9.399, 9.399, 9.399 Å; angles 20.56, 20.56, 20.56 degrees
Sites, in units of the cell vectors:
Y (0.000, 0.000, 0.000)
Hf (0.500, 0.500, 0.500)
Cl (0.407, 0.407, 0.407)
Cl (0.593, 0.593, 0.593)

---

This record from Alexandria describes an optimized crystal structure of YHfCl2. The functional is GGA-PBE.

Cell lengths 9.415, 9.415, 9.415 Å; angles 151.68, 151.68, 40.48 degrees
Sites, in units of the cell vectors:
Y (0.000, 0.000, 0.000)
Y (0.750, 0.250, 0.500)
Hf (0.250, 0.750, 0.500)
Hf (0.500, 0.500, 0.000)
Cl (0.145, 0.625, 0.020)
Cl (0.375, 0.395, 0.520)
Cl (0.605, 0.125, 0.980)
Cl (0.875, 0.855, 0.480)

---

This record from Alexandria describes an optimized crystal structure of Y2HfCl4. The functional is GGA-PBE.

Cell lengths 7.921, 7.921, 7.921 Å; angles 144.07, 144.07, 51.72 degrees
Sites, in units of the cell vectors:
Y (0.114, 0.114, 0.000)
Y (0.886, 0.886, 0.000)
Hf (0.500, 0.500, 0.000)
Cl (0.000, 0.500, 0.500)
Cl (0.310, 0.310, 0.000)
Cl (0.500, 0.000, 0.500)
Cl (0.690, 0.690, 0.000)

---

This record from Alexandria describes an optimized crystal structure of Y2HfCl. The functional is GGA-PBE.

Cell lengths 6.647, 6.647, 6.647 Å; angles 102.39, 102.39, 124.80 degrees
Sites, in units of the cell vectors:
Y (0.052, 0.625, 0.927)
Y (0.375, 0.302, 0.427)
Y (0.698, 0.125, 0.073)
Y (0.875, 0.948, 0.573)
Hf (0.250, 0.750, 0.500)
Hf (0.500, 0.500, 0.000)
Cl (0.000, 0.000, 0.000)
Cl (0.750, 0.250, 0.500)

---

This record from Alexandria describes an optimized crystal structure of Y2HfCl. The functional is GGA-PBE.

Cell lengths 5.354, 5.354, 5.354 Å; angles 60.00, 60.00, 60.00 degrees
Sites, in units of the cell vectors:
Y (0.250, 0.250, 0.250)
Y (0.750, 0.750, 0.750)
Hf (0.000, 0.000, 0.000)
Cl (0.500, 0.500, 0.500)

---

This record from Alexandria describes an optimized crystal structure of YHf3Cl. The functional is GGA-PBE.

Cell lengths 5.317, 5.317, 5.317 Å; angles 90.00, 90.00, 90.00 degrees
Sites, in units of the cell vectors:
Y (0.000, 0.000, 0.000)
Hf (0.000, 0.000, 0.500)
Hf (0.000, 0.500, 0.000)
Hf (0.500, 0.000, 0.000)
Cl (0.500, 0.500, 0.500)

---

Number 1: E_tot -6.481 eV per atom, theoretical density 9.69 g cm⁻³. Number 2: E_tot -7.120 eV per atom, theoretical density 10.87 g cm⁻³. Number 3: E_tot -8.261 eV per atom, theoretical density 12.43 g cm⁻³. Number 4: E_tot -5.276 eV per atom, theoretical density 6.18 g cm⁻³. Number 5: E_tot -6.402 eV per atom, theoretical density 6.37 g cm⁻³. Number 6: E_tot -7.661 eV per atom, theoretical density 9.46 g cm⁻³. Number 7: E_tot -5.951 eV per atom, theoretical density 6.27 g cm⁻³. Number 8: E_tot -5.713 eV per atom, theoretical density 5.99 g cm⁻³. Number 9: E_tot -5.036 eV per atom, theoretical density 4.86 g cm⁻³. Number 10: E_tot -6.245 eV per atom, theoretical density 6.09 g cm⁻³. Number 11: E_tot -5.928 eV per atom, theoretical density 6.00 g cm⁻³. Number 12: E_tot -5.998 eV per atom, theoretical density 7.29 g cm⁻³.